Entry 1:
{"formula": "ZrTi2NiPb", "functional": "PBE", "state": "relaxed", "delta_e_f_ev_per_atom": 0.99, "e_tot_ev_per_atom": -5.78, "lattice": [[4.9234, 0.0000, 0.0000], [0.0000, 4.6709, 0.0000], [0.0000, 0.0000, 4.9234]], "species": ["Pb", "Ni", "Zr", "Ti", "Ti"], "frac_coords": [[0.5000, 0.5000, 0.5000], [0.0000, 0.5000, 0.0000], [0.0000, 0.0000, 0.0000], [0.0000, 0.0000, 0.5000], [0.5000, 0.0000, 0.0000]]}


Entry 2:
{"formula": "Zr2TiNiPb", "functional": "PBE", "state": "relaxed", "delta_e_f_ev_per_atom": 1.56, "e_tot_ev_per_atom": -5.34, "lattice": [[-1.4838, -0.6153, 5.1187], [1.9194, -4.6380, -0.0011], [4.7298, 1.9570, 1.6063]], "species": ["Pb", "Ni", "Zr", "Zr", "Ti"], "frac_coords": [[0.0000, 0.0000, 0.0000], [0.5000, 0.5000, 0.5000], [0.0000, 0.0000, 0.5000], [0.5000, 0.0000, 0.0000], [0.0000, 0.5000, 0.0000]]}


Entry 3:
{"formula": "TlNiPb", "functional": "PBE", "state": "relaxed", "delta_e_f_ev_per_atom": 0.16, "relative_energy_kj_per_mol_atoms": 2.92, "e_tot_ev_per_atom": -3.79, "lattice": [[-1.6192, -0.1371, -4.3338], [0.5753, -3.8088, -2.5659], [-3.6386, -2.6695, -1.0276]], "species": ["Ni", "Pb", "Tl"], "frac_coords": [[0.7500, 0.7500, 0.7500], [0.0000, 0.0000, 0.0000], [0.5000, 0.5000, 0.5000]]}


Entry 4:
{"formula": "Tl2Ni2Pb", "functional": "PBE", "state": "relaxed", "delta_e_f_ev_per_atom": 0.38, "relative_energy_kj_per_mol_atoms": 9.72, "e_tot_ev_per_atom": -3.62, "lattice": [[-0.6585, -1.8275, 3.9837], [-2.7253, -2.9842, -1.8195], [2.6119, -5.8162, 0.2290]], "species": ["Pb", "Ni", "Ni", "Tl", "Tl"], "frac_coords": [[0.0000, 0.0000, 0.0000], [0.3944, 0.3944, 0.2111], [0.6056, 0.6056, 0.7889], [0.7500, 0.2500, 0.5000], [0.2500, 0.7500, 0.5000]]}


Entry 5:
{"formula": "TlNi3Pb", "functional": "PBE", "state": "relaxed", "delta_e_f_ev_per_atom": 1.03, "relative_energy_kj_per_mol_atoms": 0.00, "e_tot_ev_per_atom": -3.65, "lattice": [[4.7967, 0.0000, 0.0000], [0.0000, 4.7967, 0.0000], [0.0000, 0.0000, 4.7967]], "species": ["Pb", "Ni", "Ni", "Ni", "Tl"], "frac_coords": [[0.5000, 0.5000, 0.5000], [0.0000, 0.5000, 0.0000], [0.0000, 0.0000, 0.5000], [0.5000, 0.0000, 0.0000], [0.0000, 0.0000, 0.0000]]}


Entry 6:
{"formula": "TlNiPb3", "functional": "PBE", "state": "relaxed", "delta_e_f_ev_per_atom": 0.12, "relative_energy_kj_per_mol_atoms": 0.00, "e_tot_ev_per_atom": -3.73, "lattice": [[-0.2602, -4.7338, -2.2368], [5.1668, 0.1298, -0.8759], [0.8464, -2.2481, 4.6594]], "species": ["Pb", "Pb", "Pb", "Ni", "Tl"], "frac_coords": [[0.0000, 0.5000, 0.0000], [0.0000, 0.0000, 0.5000], [0.5000, 0.0000, 0.0000], [0.0000, 0.0000, 0.0000], [0.5000, 0.5000, 0.5000]]}


Entry 7:
{"formula": "TlNiPb", "functional": "PBE", "state": "relaxed", "delta_e_f_ev_per_atom": 0.22, "relative_energy_kj_per_mol_atoms": 8.73, "e_tot_ev_per_atom": -3.73, "lattice": [[-1.6525, -2.5403, -2.0397], [3.6382, 0.3195, -0.0743], [0.4509, -4.0473, 4.6754]], "species": ["Ni", "Pb", "Tl"], "frac_coords": [[0.0000, 0.0000, 0.0021], [0.6667, 0.3333, 0.2709], [0.3333, 0.6667, 0.7271]]}


Entry 8:
{"formula": "Tl3NiPb", "functional": "PBE", "state": "relaxed", "delta_e_f_ev_per_atom": 1.03, "relative_energy_kj_per_mol_atoms": 82.54, "e_tot_ev_per_atom": -2.29, "lattice": [[6.0382, 0.0000, 0.0000], [0.0000, 6.0382, 0.0000], [0.0000, 0.0000, 6.0382]], "species": ["Pb", "Ni", "Tl", "Tl", "Tl"], "frac_coords": [[0.0000, 0.0000, 0.0000], [0.5000, 0.5000, 0.5000], [0.0000, 0.5000, 0.0000], [0.0000, 0.0000, 0.5000], [0.5000, 0.0000, 0.0000]]}


Entry 9:
{"formula": "Tl2Ni2Pb", "functional": "PBE", "state": "relaxed", "delta_e_f_ev_per_atom": 0.28, "relative_energy_kj_per_mol_atoms": 0.00, "e_tot_ev_per_atom": -3.72, "lattice": [[7.5236, 0.0000, 0.0000], [0.0000, 7.5236, 0.0000], [0.0000, 0.0000, 3.5586]], "species": ["Pb", "Pb", "Ni", "Ni", "Ni", "Ni", "Tl", "Tl", "Tl", "Tl"], "frac_coords": [[0.0000, 0.0000, 0.0000], [0.5000, 0.5000, 0.0000], [0.3742, 0.8742, 0.0000], [0.8742, 0.6258, 0.0000], [0.6258, 0.1258, 0.0000], [0.1258, 0.3742, 0.0000], [0.1635, 0.6635, 0.5000], [0.6635, 0.8365, 0.5000], [0.8365, 0.3365, 0.5000], [0.3365, 0.1635, 0.5000]]}


Entry 10:
{"formula": "Tl4NiPb", "functional": "PBE", "state": "relaxed", "delta_e_f_ev_per_atom": 0.56, "e_tot_ev_per_atom": -2.60, "lattice": [[0.0000, 4.4676, 4.4676], [4.4676, 0.0000, 4.4676], [4.4676, 4.4676, 0.0000]], "species": ["Tl", "Tl", "Tl", "Tl", "Ni", "Pb"], "frac_coords": [[0.8737, 0.3754, 0.3754], [0.3754, 0.3754, 0.8737], [0.3754, 0.8737, 0.3754], [0.3754, 0.3754, 0.3754], [0.7500, 0.7500, 0.7500], [0.0000, 0.0000, 0.0000]]}


Entry 11:
{"formula": "TlNiPb", "functional": "PBE", "state": "relaxed", "delta_e_f_ev_per_atom": 0.22, "relative_energy_kj_per_mol_atoms": 8.75, "e_tot_ev_per_atom": -3.73, "lattice": [[-5.6747, 1.8829, 3.2998], [-6.4639, -1.0283, 1.9483], [0.2770, -1.4481, 2.9582]], "species": ["Ni", "Pb", "Tl"], "frac_coords": [[0.9969, 0.9969, 0.0031], [0.3698, 0.3698, 0.6302], [0.6333, 0.6333, 0.3667]]}


Entry 12:
{"formula": "TlNiPb", "functional": "PBE", "state": "relaxed", "delta_e_f_ev_per_atom": 0.13, "relative_energy_kj_per_mol_atoms": 0.00, "e_tot_ev_per_atom": -3.82, "lattice": [[-2.3183, 4.0478, -4.8089], [1.8554, -4.2517, -5.4134], [-4.7631, -4.2288, -3.1277]], "species": ["Tl", "Tl", "Tl", "Tl", "Ni", "Ni", "Ni", "Ni", "Pb", "Pb", "Pb", "Pb"], "frac_coords": [[0.1962, 0.2461, 0.4167], [0.1335, 0.2374, 0.9426], [0.7165, 0.2630, 0.2628], [0.3088, 0.7412, 0.5843], [0.0559, 0.5552, 0.0387], [0.4433, 0.4421, 0.9679], [0.4758, 0.0283, 0.1746], [0.0264, 0.9712, 0.8313], [0.7898, 0.7432, 0.7320], [0.8124, 0.7507, 0.2519], [0.6890, 0.2471, 0.7502], [0.3599, 0.7745, 0.0470]]}


Entry 13:
{"formula": "TlNi4Pb", "functional": "PBE", "state": "relaxed", "delta_e_f_ev_per_atom": 0.23, "e_tot_ev_per_atom": -4.64, "lattice": [[0.0000, 3.5834, 3.5834], [3.5834, 0.0000, 3.5834], [3.5834, 3.5834, 0.0000]], "species": ["Tl", "Ni", "Ni", "Ni", "Ni", "Pb"], "frac_coords": [[0.0000, 0.0000, 0.0000], [0.8756, 0.3748, 0.3748], [0.3748, 0.3748, 0.8756], [0.3748, 0.8756, 0.3748], [0.3748, 0.3748, 0.3748], [0.7500, 0.7500, 0.7500]]}


Entry 14:
{"formula": "Tl3NiPb", "functional": "PBE", "state": "relaxed", "delta_e_f_ev_per_atom": 0.18, "relative_energy_kj_per_mol_atoms": 0.00, "e_tot_ev_per_atom": -3.14, "lattice": [[5.1755, 0.0000, 0.0000], [0.0000, 5.1755, 0.0000], [0.0000, 0.0000, 5.1755]], "species": ["Pb", "Ni", "Tl", "Tl", "Tl"], "frac_coords": [[0.5000, 0.5000, 0.5000], [0.0000, 0.0000, 0.0000], [0.0000, 0.5000, 0.0000], [0.0000, 0.0000, 0.5000], [0.5000, 0.0000, 0.0000]]}


Entry 15:
{"formula": "TlNiPb3", "functional": "PBE", "state": "relaxed", "delta_e_f_ev_per_atom": 1.16, "relative_energy_kj_per_mol_atoms": 100.10, "e_tot_ev_per_atom": -2.69, "lattice": [[-3.7581, -3.3485, 2.9357], [3.7488, -4.4522, -0.2794], [2.4036, 1.7085, 5.0257]], "species": ["Pb", "Pb", "Pb", "Ni", "Tl"], "frac_coords": [[0.0000, 0.5000, 0.0000], [0.0000, 0.0000, 0.5000], [0.5000, 0.0000, 0.0000], [0.5000, 0.5000, 0.5000], [0.0000, 0.0000, 0.0000]]}


Entry 16:
{"formula": "Tl2VNiPb", "functional": "PBE", "state": "relaxed", "delta_e_f_ev_per_atom": 0.71, "e_tot_ev_per_atom": -3.95, "lattice": [[5.3539, 0.0000, 0.0000], [0.0000, 4.4427, 0.0000], [0.0000, 0.0000, 5.3539]], "species": ["Pb", "Ni", "Tl", "Tl", "V"], "frac_coords": [[0.5000, 0.5000, 0.5000], [0.0000, 0.5000, 0.0000], [0.0000, 0.0000, 0.5000], [0.5000, 0.0000, 0.0000], [0.0000, 0.0000, 0.0000]]}


Entry 17:
{"formula": "Tm4Ni2Pb", "functional": "PBE", "state": "relaxed", "delta_e_f_ev_per_atom": -0.25, "e_tot_ev_per_atom": -4.99, "lattice": [[4.5985, 0.0000, 0.0000], [2.2993, 3.9825, 0.0000], [2.2993, 1.3275, 9.4741]], "species": ["Tm", "Tm", "Tm", "Tm", "Ni", "Ni", "Pb"], "frac_coords": [[0.7005, 0.7005, 0.8985], [0.8900, 0.8900, 0.3301], [0.2995, 0.2995, 0.1015], [0.1100, 0.1100, 0.6699], [0.6010, 0.6010, 0.1970], [0.3990, 0.3990, 0.8030], [0.5000, 0.5000, 0.5000]]}


Entry 18:
{"formula": "TmNiPb", "functional": "PBE", "state": "relaxed", "delta_e_f_ev_per_atom": -0.32, "e_tot_ev_per_atom": -4.98, "lattice": [[-2.2068, 2.6515, 3.0296], [-0.4652, -4.5543, 0.1682], [6.7170, 1.7530, 3.3585]], "species": ["Tm", "Tm", "Ni", "Ni", "Pb", "Pb"], "frac_coords": [[0.7388, 0.4776, 0.2176], [0.2612, 0.5224, 0.7824], [0.1336, 0.2673, 0.4018], [0.8664, 0.7327, 0.5982], [0.5000, 0.0000, 0.5000], [0.0000, 0.0000, 0.0000]]}


Entry 19:
{"formula": "Tm5NiPb2", "functional": "PBE", "state": "relaxed", "delta_e_f_ev_per_atom": 0.00, "relative_energy_kj_per_mol_atoms": 41.96, "e_tot_ev_per_atom": -4.44, "lattice": [[5.2406, 0.0000, 0.0000], [-2.6203, 8.2592, 0.0000], [0.0000, 0.0000, 12.3942]], "species": ["Tm", "Tm", "Tm", "Tm", "Tm", "Tm", "Tm", "Tm", "Tm", "Tm", "Ni", "Ni", "Pb", "Pb", "Pb", "Pb"], "frac_coords": [[0.9088, 0.8177, 0.8914], [0.9088, 0.8177, 0.6086], [0.3027, 0.6054, 0.4317], [0.3027, 0.6054, 0.0683], [0.7212, 0.4423, 0.2500], [0.2788, 0.5577, 0.7500], [0.6973, 0.3946, 0.5683], [0.6973, 0.3946, 0.9317], [0.0912, 0.1823, 0.1086], [0.0912, 0.1823, 0.3914], [0.7925, 0.5850, 0.7500], [0.2075, 0.4150, 0.2500], [0.9016, 0.8033, 0.3702], [0.9016, 0.8033, 0.1298], [0.0984, 0.1967, 0.6298], [0.0984, 0.1967, 0.8702]]}


Entry 20:
{"formula": "Tm4NiPb", "functional": "PBE", "state": "relaxed", "delta_e_f_ev_per_atom": -0.35, "relative_energy_kj_per_mol_atoms": 0.00, "e_tot_ev_per_atom": -4.92, "lattice": [[5.1112, 0.0000, -2.1419], [0.0000, 6.8173, 0.0000], [-0.3089, 0.0000, 9.0478]], "species": ["Tm", "Tm", "Tm", "Tm", "Tm", "Tm", "Tm", "Tm", "Ni", "Ni", "Pb", "Pb"], "frac_coords": [[0.5694, 0.2500, 0.4409], [0.4306, 0.7500, 0.5591], [0.6451, 0.2500, 0.8537], [0.3549, 0.7500, 0.1463], [0.9405, 0.0059, 0.2811], [0.0595, 0.5059, 0.7189], [0.9405, 0.4941, 0.2811], [0.0595, 0.9941, 0.7189], [0.2008, 0.2500, 0.5483], [0.7992, 0.7500, 0.4517], [0.2924, 0.2500, 0.0668], [0.7076, 0.7500, 0.9332]]}